Record 1
{
  "formula": "Cd2CuPb2",
  "functional": "PBE",
  "state": "optimized geometry",
  "cell": [[7.309, 0.000, 0.000], [0.000, 7.309, 0.000], [0.000, 0.000, 4.984]],
  "species": ["Cd", "Cd", "Cd", "Cd", "Cu", "Cu", "Pb", "Pb", "Pb", "Pb"],
  "frac_coords": [[0.149, 0.351, 0.000], [0.351, 0.851, 0.000], [0.649, 0.149, 0.000], [0.851, 0.649, 0.000], [0.000, 0.000, 0.500], [0.500, 0.500, 0.500], [0.164, 0.664, 0.500], [0.336, 0.164, 0.500], [0.664, 0.836, 0.500], [0.836, 0.336, 0.500]],
  "dft_energy_ev_per_cell": -24.395,
  "spacegroup": "P4/mbm",
  "formation_enthalpy_0k_ev_per_atom": 0.229,
  "density_g_cm3": 8.8,
  "m_tot_mub_per_fu": 0.00
}

***

Record 2
{
  "formula": "CaFeCo2",
  "functional": "PBE",
  "state": "optimized geometry",
  "cell": [[2.727, -4.191, 0.000], [2.727, 4.191, 0.000], [-0.890, 0.000, 2.508]],
  "species": ["Ca", "Fe", "Co", "Co"],
  "frac_coords": [[0.000, 0.000, 0.000], [0.500, 0.500, 0.000], [0.000, 0.500, 0.500], [0.500, 0.000, 0.500]],
  "dft_energy_ev_per_cell": -22.527,
  "spacegroup": "C2/m",
  "formation_enthalpy_0k_ev_per_atom": 0.537,
  "density_g_cm3": 6.2,
  "m_tot_mub_per_fu": 5.23
}

***

Record 3
{
  "formula": "Sr4Co",
  "functional": "PBE",
  "state": "optimized geometry",
  "cell": [[-3.750, 3.750, 3.750], [3.750, -3.750, 3.750], [3.750, 3.750, -3.750]],
  "species": ["Sr", "Sr", "Sr", "Sr", "Co"],
  "frac_coords": [[0.000, 0.000, 0.500], [0.000, 0.500, 0.000], [0.500, 0.000, 0.000], [0.500, 0.500, 0.500], [0.000, 0.000, 0.000]],
  "dft_energy_ev_per_cell": -11.718,
  "spacegroup": "Im-3m",
  "formation_enthalpy_0k_ev_per_atom": 0.423,
  "density_g_cm3": 3.2,
  "m_tot_mub_per_fu": 1.16
}